[1]
Ti2Nb3Mo4 PBE relaxed; symmetry = P-3m1, No. 164; V = 149.7 Å³/cell; calculated formation energy = -0.114 eV per atom
1.0
2.291 3.968 -0.143
-2.291 3.968 -0.143
0.000 0.299 8.224
Ti Mo Nb
2 4 3
Cartesian
0.000 2.709 1.683 Ti
0.000 5.526 6.255 Ti
0.000 8.037 2.481 Mo
0.000 5.323 0.708 Mo
0.000 2.912 7.231 Mo
0.000 0.199 5.457 Mo
0.000 2.816 4.579 Nb
0.000 5.419 3.359 Nb
0.000 0.000 0.000 Nb


[2]
TiNb2Mo4 PBE relaxed; symmetry = Fmmm, No. 69; V = 124.8 Å³/cell; calculated formation energy = 0.315 eV per atom
1.0
7.840 0.000 4.518
3.920 3.143 2.259
1.728 0.000 6.063
Nb Mo Ti
2 4 1
Cartesian
6.744 1.571 6.420 Nb
2.824 1.571 4.161 Nb
8.704 3.143 7.549 Mo
5.880 1.571 3.389 Mo
3.688 1.571 7.192 Mo
8.704 0.000 7.549 Mo
3.920 3.143 2.259 Ti


[3]
Ti4Nb2Mo PBE relaxed; symmetry = I4/mmm, No. 139; V = 139.1 Å³/cell; calculated formation energy = 0.826 eV per atom
1.0
4.632 0.000 0.000
0.000 4.632 0.000
2.316 2.316 6.480
Mo Ti Nb
1 4 2
Cartesian
0.000 0.000 0.000 Mo
2.316 0.000 0.000 Ti
4.632 4.632 2.529 Ti
2.316 2.316 3.951 Ti
0.000 2.316 0.000 Ti
2.316 2.316 1.619 Nb
4.632 4.632 4.861 Nb


[4]
Ti5Nb2Mo4 PBE relaxed; symmetry = P-1, No. 2; V = 183.3 Å³/cell; calculated formation energy = -0.042 eV per atom
1.0
2.768 0.492 0.490
0.841 6.993 -0.136
3.273 0.710 10.250
Ti Mo Nb
5 4 2
Cartesian
5.126 7.086 7.678 Ti
2.295 1.827 5.597 Ti
1.756 1.109 2.925 Ti
4.587 6.368 5.007 Ti
1.384 0.246 0.245 Ti
3.680 4.460 6.664 Mo
3.202 3.735 3.940 Mo
4.135 5.191 9.380 Mo
2.747 3.003 1.223 Mo
1.272 5.210 1.798 Nb
5.610 2.984 8.806 Nb